No. 1
A relaxed CsMnH2Rh crystal. Source: the Alexandria database, functional PBE.

Output
The calculated volume is 18.80 Å³ per atom. The total energy is -16.58 eV/cell. As for the magnetic moment: 4.8 μB per cell. As for the space-group type: P4/mmm, No. 123.

Unit cell a=3.972 b=3.972 c=5.959 alpha=90.00 beta=90.00 gamma=90.00
Fractional coordinates of all 5 atoms:
1 Cs 0.000 0.000 0.000
2 Mn 0.500 0.500 0.500
3 H 0.000 0.500 0.000
4 H 0.500 0.000 0.000
5 Rh 0.000 0.000 0.500

---

No. 2
A relaxed CsSrMn2H crystal. Source: the Alexandria database, functional PBE.

Output
The calculated volume is 35.10 Å³ per atom. The total energy is -13.75 eV/cell. As for the magnetic moment: 5.9 μB per cell. As for the space-group type: P4/mmm, No. 123.

Unit cell a=5.025 b=5.025 c=6.950 alpha=90.00 beta=90.00 gamma=90.00
Fractional coordinates of all 5 atoms:
1 Cs 0.000 0.000 0.000
2 Sr 0.000 0.000 0.500
3 Mn 0.000 0.500 0.000
4 Mn 0.500 0.000 0.000
5 H 0.500 0.500 0.500

---

No. 3
A relaxed Cs2MnTcH crystal. Source: the Alexandria database, functional PBE.

Output
The calculated volume is 25.42 Å³ per atom. The total energy is -17.55 eV/cell. As for the magnetic moment: 4.8 μB per cell. As for the space-group type: P4/mmm, No. 123.

Unit cell a=6.050 b=6.050 c=3.473 alpha=90.00 beta=90.00 gamma=90.00
Fractional coordinates of all 5 atoms:
1 Cs 0.000 0.500 0.000
2 Cs 0.500 0.000 0.000
3 Mn 0.000 0.000 0.500
4 Tc 0.500 0.500 0.500
5 H 0.500 0.500 0.000

---

No. 4
A relaxed CsMnZnH6 crystal. Source: the Alexandria database, functional PBE.

Output
The calculated volume is 12.57 Å³ per atom. The total energy is -31.97 eV/cell. As for the magnetic moment: 2.0 μB per cell. As for the space-group type: P-6m2, No. 187.

Unit cell a=4.620 b=4.620 c=6.120 alpha=90.00 beta=90.00 gamma=120.00
Fractional coordinates of all 9 atoms:
1 Cs 0.000 0.000 0.000
2 Mn 0.667 0.333 0.500
3 Zn 0.333 0.667 0.500
4 H 0.519 0.038 0.317
5 H 0.519 0.038 0.683
6 H 0.519 0.481 0.317
7 H 0.519 0.481 0.683
8 H 0.962 0.481 0.317
9 H 0.962 0.481 0.683

---

No. 5
A relaxed CsMoH crystal. Source: the Alexandria database, functional PBE.

Output
The calculated volume is 20.75 Å³ per atom. The total energy is -24.96 eV/cell. As for the magnetic moment: 0.0 μB per cell. As for the space-group type: Amm2, No. 38.

Unit cell a=12.669 b=3.355 c=3.355 alpha=60.85 beta=90.00 gamma=90.00
Fractional coordinates of all 6 atoms:
1 Cs 0.161 0.000 0.000
2 Cs 0.839 0.000 0.000
3 Mo 0.414 0.454 0.454
4 Mo 0.586 0.454 0.454
5 H 0.000 0.348 0.348
6 H 0.500 0.114 0.114

---

No. 6
A relaxed Cs3MoH8 crystal. Source: the Alexandria database, functional PBE.

Output
The calculated volume is 17.44 Å³ per atom. The total energy is -42.37 eV/cell. As for the magnetic moment: 1.0 μB per cell. As for the space-group type: I-42m, No. 121.

Unit cell a=6.570 b=6.570 c=6.570 alpha=116.74 beta=116.74 gamma=95.75
Fractional coordinates of all 12 atoms:
1 Cs 0.000 0.000 0.000
2 Cs 0.250 0.750 0.500
3 Cs 0.750 0.250 0.500
4 Mo 0.500 0.500 0.000
5 H 0.234 0.234 0.800
6 H 0.267 0.630 0.000
7 H 0.370 0.370 0.637
8 H 0.433 0.433 0.200
9 H 0.567 0.766 0.000
10 H 0.630 0.267 0.000
11 H 0.733 0.733 0.363
12 H 0.766 0.567 0.000

---

No. 7
A relaxed Cs3MoH6 crystal. Source: the Alexandria database, functional PBE.

Output
The calculated volume is 20.96 Å³ per atom. The total energy is -34.17 eV/cell. As for the magnetic moment: 3.0 μB per cell. As for the space-group type: C2/m, No. 12.

Unit cell a=6.667 b=6.667 c=6.667 alpha=119.98 beta=119.98 gamma=60.01
Fractional coordinates of all 10 atoms:
1 Cs 0.000 0.000 0.000
2 Cs 0.250 0.250 0.750
3 Cs 0.750 0.750 0.250
4 Mo 0.500 0.500 0.500
5 H 0.301 0.697 0.697
6 H 0.302 0.302 0.301
7 H 0.303 0.699 0.303
8 H 0.697 0.301 0.697
9 H 0.698 0.698 0.699
10 H 0.699 0.303 0.303

---

No. 8
A relaxed CsMoH4 crystal. Source: the Alexandria database, functional PBE.

Output
The calculated volume is 16.45 Å³ per atom. The total energy is -50.46 eV/cell. As for the magnetic moment: 0.7 μB per cell. As for the space-group type: C2/m, No. 12.

Unit cell a=6.910 b=6.910 c=4.993 alpha=98.09 beta=98.09 gamma=57.03
Fractional coordinates of all 12 atoms:
1 Cs 0.184 0.184 0.202
2 Cs 0.816 0.816 0.798
3 Mo 0.480 0.480 0.744
4 Mo 0.520 0.520 0.256
5 H 0.261 0.580 0.430
6 H 0.292 0.708 0.000
7 H 0.336 0.336 0.758
8 H 0.420 0.739 0.570
9 H 0.580 0.261 0.430
10 H 0.664 0.664 0.242
11 H 0.708 0.292 0.000
12 H 0.739 0.420 0.570

---

No. 9
A relaxed Cs3MoH crystal. Source: the Alexandria database, functional PBE.

Output
The calculated volume is 48.79 Å³ per atom. The total energy is -12.37 eV/cell. As for the magnetic moment: 5.9 μB per cell. The energy above the most stable polymorph in this dataset is 0.000 eV per atom. As for the space-group type: Pm-3m, No. 221.

Unit cell a=6.248 b=6.248 c=6.248 alpha=90.00 beta=90.00 gamma=90.00
Fractional coordinates of all 5 atoms:
1 Cs 0.000 0.000 0.500
2 Cs 0.000 0.500 0.000
3 Cs 0.500 0.000 0.000
4 Mo 0.500 0.500 0.500
5 H 0.000 0.000 0.000

---

No. 10
A relaxed Cs2MoH4 crystal. Source: the Alexandria database, functional PBE.

Output
The calculated volume is 18.27 Å³ per atom. The total energy is -24.83 eV/cell. As for the magnetic moment: 2.0 μB per cell. As for the space-group type: I4/mmm, No. 139.

Unit cell a=8.623 b=8.623 c=8.623 alpha=153.45 beta=153.45 gamma=37.90
Fractional coordinates of all 7 atoms:
1 Cs 0.151 0.151 0.000
2 Cs 0.849 0.849 0.000
3 Mo 0.500 0.500 0.000
4 H 0.000 0.500 0.500
5 H 0.386 0.386 0.000
6 H 0.500 0.000 0.500
7 H 0.614 0.614 0.000

---

No. 11
A relaxed Cs2MoH crystal. Source: the Alexandria database, functional PBE.

Output
The calculated volume is 34.57 Å³ per atom. The total energy is -10.22 eV/cell. As for the magnetic moment: 5.0 μB per cell. As for the space-group type: Fm-3m, No. 225.

Unit cell a=5.805 b=5.805 c=5.805 alpha=60.00 beta=60.00 gamma=60.00
Fractional coordinates of all 4 atoms:
1 Cs 0.250 0.250 0.250
2 Cs 0.750 0.750 0.750
3 Mo 0.000 0.000 0.000
4 H 0.500 0.500 0.500

---

No. 12
A relaxed Cs2NaMoH6 crystal. Source: the Alexandria database, functional PBE.

Output
The calculated volume is 20.97 Å³ per atom. The total energy is -34.68 eV/cell. As for the magnetic moment: 3.0 μB per cell. As for the space-group type: P-3m1, No. 164.

Unit cell a=6.440 b=6.440 c=5.839 alpha=90.00 beta=90.00 gamma=120.00
Fractional coordinates of all 10 atoms:
1 Cs 0.333 0.667 0.294
2 Cs 0.667 0.333 0.706
3 Na 0.000 0.000 0.000
4 Mo 0.000 0.000 0.500
5 H 0.134 0.268 0.694
6 H 0.134 0.866 0.694
7 H 0.268 0.134 0.306
8 H 0.732 0.866 0.694
9 H 0.866 0.134 0.306
10 H 0.866 0.732 0.306

---

Question: Which value of calculated volume does entry 6 give?
Answer: 17.44 Å³ per atom